Compound: Cu7Si
Source: the Alexandria database
Functional: GGA-PBEsol
Structure: relaxed

abc: 5.0468 5.0468 5.0468
angles: 60.00 60.00 60.00
Fractional coordinates of all 8 atoms:
Cu: 0.0000 0.5000 0.0000
Cu: 0.5000 0.0000 0.0000
Cu: 0.0000 0.0000 0.5000
Cu: 0.5000 0.0000 0.5000
Cu: 0.0000 0.5000 0.5000
Cu: 0.5000 0.5000 0.0000
Cu: 0.5000 0.5000 0.5000
Si: 0.0000 0.0000 0.0000

Output
Symmetry: Fm-3m (225)

=====

Compound: Cu5Si
Source: the Alexandria database
Functional: GGA-PBEsol
Structure: relaxed

abc: 3.6251 3.6569 5.4774
angles: 90.00 109.32 90.00
Fractional coordinates of all 6 atoms:
Cu: 0.3336 0.5000 0.6673
Cu: 0.1632 0.0000 0.3265
Cu: 0.0000 0.5000 0.0000
Cu: 0.8368 0.0000 0.6735
Cu: 0.6664 0.5000 0.3327
Si: 0.5000 0.0000 0.0000

Output
Symmetry: Cmmm (65)
Distance to the lowest polymorph of the same formula: 0.06 eV per formula unit

=====

Compound: Cu2Si
Source: the Alexandria database
Functional: GGA-PBEsol
Structure: relaxed

abc: 4.3114 4.3114 4.3600
angles: 90.00 90.00 119.87
Fractional coordinates of all 6 atoms:
Cu: 0.1509 0.4832 0.7500
Cu: 0.8491 0.5168 0.2500
Cu: 0.4832 0.1509 0.7500
Cu: 0.5168 0.8491 0.2500
Si: 0.8178 0.8178 0.7500
Si: 0.1822 0.1822 0.2500

Output
Symmetry: Cmcm (63)

=====

Compound: Cu5Si
Source: the Alexandria database
Functional: GGA-PBEsol
Structure: relaxed

abc: 2.5977 4.0922 6.5985
angles: 90.00 101.35 90.00
Fractional coordinates of all 6 atoms:
Cu: 0.9981 0.0000 0.9961
Cu: 0.3326 0.0000 0.6653
Cu: 0.6635 0.0000 0.3270
Cu: 0.4479 0.5000 0.8957
Cu: 0.7779 0.5000 0.5559
Si: 0.1133 0.5000 0.2266

Output
Symmetry: Amm2 (38)
Distance to the lowest polymorph of the same formula: 0.29 eV per formula unit

=====

Compound: Cu2Si
Source: the Alexandria database
Functional: GGA-PBEsol
Structure: relaxed

abc: 3.5837 3.5837 5.8234
angles: 90.00 90.00 90.00
Fractional coordinates of all 6 atoms:
Cu: 0.0000 0.0000 0.0000
Cu: 0.5000 0.5000 0.0000
Cu: 0.5000 0.0000 0.3097
Cu: 0.0000 0.5000 0.6903
Si: 0.5000 0.0000 0.7070
Si: 0.0000 0.5000 0.2930

Output
Symmetry: P4/nmm (129)

=====

Compound: Cu2Si
Source: the Alexandria database
Functional: GGA-PBEsol
Structure: relaxed

abc: 3.6096 3.6096 11.1591
angles: 99.31 99.31 90.00
Fractional coordinates of all 12 atoms:
Cu: 0.9996 0.4996 0.9992
Cu: 0.5004 0.0004 0.0008
Cu: 0.7496 0.7496 0.4992
Cu: 0.2504 0.2504 0.5008
Cu: 0.8344 0.3344 0.6688
Cu: 0.6656 0.1656 0.3312
Cu: 0.5844 0.5844 0.1688
Cu: 0.4156 0.4156 0.8312
Si: 0.1686 0.6686 0.3372
Si: 0.3314 0.8314 0.6628
Si: 0.9186 0.9186 0.8372
Si: 0.0814 0.0814 0.1628

Output
Symmetry: I4_1/amd (141)

=====

Compound: Cu5Si
Source: the Alexandria database
Functional: GGA-PBEsol
Structure: relaxed

abc: 4.1154 4.3769 4.3769
angles: 120.00 90.00 90.00
Fractional coordinates of all 6 atoms:
Cu: 0.0000 0.3278 0.3278
Cu: 0.0000 0.6722 0.0000
Cu: 0.0000 0.0000 0.6722
Cu: 0.5000 0.3333 0.6667
Cu: 0.5000 0.6667 0.3333
Si: 0.5000 0.0000 0.0000

Output
Symmetry: P-62m (189)
Distance to the lowest polymorph of the same formula: 0.00 eV per formula unit

=====

Compound: Cu2Si
Source: the Alexandria database
Functional: GGA-PBEsol
Structure: relaxed

abc: 3.5852 3.6087 5.7521
angles: 90.00 108.16 90.00
Fractional coordinates of all 6 atoms:
Cu: 0.0000 0.0000 0.0000
Cu: 0.5000 0.5000 0.0000
Cu: 0.8308 0.5000 0.6616
Cu: 0.1692 0.5000 0.3384
Si: 0.6624 0.0000 0.3249
Si: 0.3376 0.0000 0.6751

Output
Symmetry: Cmmm (65)

=====

Compound: Cu2Si
Source: the Alexandria database
Functional: GGA-PBEsol
Structure: relaxed

abc: 2.6758 4.7726 5.9538
angles: 100.23 90.00 106.28
Fractional coordinates of all 6 atoms:
Cu: 0.0121 0.0242 0.9835
Cu: 0.6672 0.3344 0.3416
Cu: 0.3224 0.6447 0.6785
Cu: 0.3905 0.7810 0.2745
Si: 0.0378 0.0755 0.5826
Si: 0.7367 0.4735 0.9726

Output
Symmetry: Cm (8)

=====

Compound: Cu2Si
Source: the Alexandria database
Functional: GGA-PBEsol
Structure: relaxed

abc: 2.5527 5.0097 6.3124
angles: 111.82 90.00 104.76
Fractional coordinates of all 6 atoms:
Cu: 0.5550 0.1101 0.8101
Cu: 0.8610 0.7220 0.4722
Cu: 0.1390 0.2780 0.5278
Cu: 0.4450 0.8899 0.1899
Si: 0.1694 0.3389 0.1619
Si: 0.8306 0.6611 0.8381

Output
Symmetry: C2/m (12)

=====

Compound: Cu8Si
Source: the Alexandria database
Functional: GGA-PBEsol
Structure: relaxed

abc: 3.5901 5.6278 5.6278
angles: 84.16 71.40 71.40
Fractional coordinates of all 9 atoms:
Cu: 0.3348 0.0000 0.3303
Cu: 0.6652 0.0000 0.6697
Cu: 0.6675 0.3325 0.3325
Cu: 0.3348 0.3303 0.0000
Cu: 0.0000 0.3325 0.6675
Cu: 0.6652 0.6697 0.0000
Cu: 0.3325 0.6675 0.6675
Cu: 0.0000 0.6675 0.3325
Si: 0.0000 0.0000 0.0000

Output
Symmetry: I4/mmm (139)

=====

Compound: Cu3Si4
Source: the Alexandria database
Functional: GGA-PBEsol
Structure: relaxed

abc: 4.7618 4.7618 4.7618
angles: 90.00 90.00 90.00
Fractional coordinates of all 7 atoms:
Cu: 0.0000 0.5000 0.0000
Cu: 0.0000 0.0000 0.5000
Cu: 0.5000 0.0000 0.0000
Si: 0.0000 0.0000 0.0000
Si: 0.0000 0.5000 0.5000
Si: 0.5000 0.0000 0.5000
Si: 0.5000 0.5000 0.0000

Output
Symmetry: Pm-3m (221)

=====

Calculated size of the total moment, 0.000; 0.000; 0.000; 0.000; 0.000; 0.000; 0.000; 0.000; 0.000; 0.000; 0.000; 0.000 μB/atom (same order as the records).
Calculated calculated total energy, -0.168; -0.171; -0.179; -0.169; -0.177; -0.178; -0.171; -0.178; -0.178; -0.178; -0.167; -0.171 hartree per atom (same order as the records).